[1]
Compound: NaErPd2
Source: the Alexandria database
Functional: PBE-GGA
Structure: optimized geometry

- Uncorrected energy: -18.5 eV per cell
- Crystal system: tetragonal

a = 3.4195 Å, b = 3.4195 Å, c = 7.1711 Å
α = 90.00°, β = 90.00°, γ = 90.00°
Space group P4/mmm (No. 123)
One atom of each set of equivalent atoms:
Na: 0.0000 0.0000 0.0000 x1
Er: 0.0000 0.0000 0.5000 x1
Pd: 0.5000 0.5000 0.2764 x2

=====

[2]
Compound: NaErSnPd
Source: the Alexandria database
Functional: PBE-GGA
Structure: optimized geometry

- Uncorrected energy: -67.2 eV per cell
- Crystal system: cubic

a = 7.1156 Å, b = 7.1156 Å, c = 7.1156 Å
α = 90.00°, β = 90.00°, γ = 90.00°
Space group F-43m (No. 216)
One atom of each set of equivalent atoms:
Na: 0.0000 0.0000 0.0000 x4
Er: 0.0000 0.0000 0.5000 x4
Sn: 0.2500 0.2500 0.2500 x4
Pd: 0.2500 0.2500 0.7500 x4

=====

[3]
Compound: NaPmEr
Source: the Alexandria database
Functional: PBE-GGA
Structure: optimized geometry

- E above lowest polymorph: 0.45 eV/f.u.
- Uncorrected energy: -19.7 eV per cell
- Crystal system: tetragonal

a = 4.1392 Å, b = 4.1392 Å, c = 11.9040 Å
α = 90.00°, β = 90.00°, γ = 90.00°
Space group P4/nmm (No. 129, origin choice 2)
One atom of each set of equivalent atoms:
Na: 0.2500 0.7500 0.0000 x2
Pm: 0.2500 0.2500 0.2623 x2
Er: 0.2500 0.2500 0.5708 x2

=====

[4]
Compound: NaPmEr
Source: the Alexandria database
Functional: PBE-GGA
Structure: optimized geometry

- E above lowest polymorph: 0.13 eV/f.u.
- Uncorrected energy: -20.3 eV per cell
- Crystal system: tetragonal

a = 3.5201 Å, b = 3.5201 Å, c = 16.3029 Å
α = 90.00°, β = 90.00°, γ = 90.00°
Space group I4mm (No. 107)
One atom of each set of equivalent atoms:
Na: 0.0000 0.0000 0.0000 x2
Pm: 0.0000 0.0000 0.6782 x2
Er: 0.0000 0.0000 0.3274 x2

=====

[5]
Compound: NaPmEr2
Source: the Alexandria database
Functional: PBE-GGA
Structure: optimized geometry

- E above lowest polymorph: 0.00 eV/f.u.
- Uncorrected energy: -14.6 eV per cell
- Crystal system: tetragonal

a = 3.5675 Å, b = 3.5675 Å, c = 10.4133 Å
α = 90.00°, β = 90.00°, γ = 90.00°
Space group P4/mmm (No. 123)
One atom of each set of equivalent atoms:
Na: 0.0000 0.0000 0.0000 x1
Pm: 0.0000 0.0000 0.5000 x1
Er: 0.5000 0.5000 0.2679 x2

=====

[6]
Compound: NaPmEr2
Source: the Alexandria database
Functional: PBE-GGA
Structure: optimized geometry

- E above lowest polymorph: 0.13 eV/f.u.
- Uncorrected energy: -43.3 eV per cell
- Crystal system: trigonal

a = 3.5084 Å, b = 3.5084 Å, c = 38.0487 Å
α = 90.00°, β = 90.00°, γ = 120.00°
Space group R-3m (No. 166, hexagonal axes)
One atom of each set of equivalent atoms:
Na: 0.0000 0.0000 0.0000 x3
Pm: 0.0000 0.0000 0.5000 x3
Er: 0.0000 0.0000 0.0916 x6

=====

[7]
Compound: NaPmEr
Source: the Alexandria database
Functional: PBE-GGA
Structure: optimized geometry

- E above lowest polymorph: 0.00 eV/f.u.
- Uncorrected energy: -41.2 eV per cell
- Crystal system: monoclinic

a = 21.0629 Å, b = 3.5085 Å, c = 5.5719 Å
α = 90.00°, β = 90.01°, γ = 90.00°
Space group C2/m (No. 12)
One atom of each set of equivalent atoms:
Na: 0.2074 0.0000 0.2491 x4
Pm: 0.1056 0.5000 0.7497 x4
Er: 0.0406 0.0000 0.2504 x4

=====

[8]
Compound: NaPmEr
Source: the Alexandria database
Functional: PBE-GGA
Structure: optimized geometry

- E above lowest polymorph: 0.07 eV/f.u.
- Uncorrected energy: -10.2 eV per cell
- Crystal system: trigonal

a = 3.5592 Å, b = 3.5592 Å, c = 9.1964 Å
α = 90.00°, β = 90.00°, γ = 120.00°
Space group P3m1 (No. 156)
One atom of each set of equivalent atoms:
Na: 0.0000 0.0000 0.0000 x1
Pm: 0.6667 0.3333 0.3537 x1
Er: 0.3333 0.6667 0.6549 x1

=====

[9]
Compound: Na3PmEr2S6
Source: the Alexandria database
Functional: PBE-GGA
Structure: optimized geometry

- Formation energy (no corrections): -1.84 eV/atom
- Uncorrected energy: -129.3 eV per cell
- Crystal system: monoclinic

a = 6.9272 Å, b = 11.9994 Å, c = 7.0748 Å
α = 90.00°, β = 109.07°, γ = 90.00°
Space group C2/m (No. 12)
One atom of each set of equivalent atoms:
Na: 0.0000 0.0000 0.0000 x2
Na: 0.0000 0.3337 0.0000 x4
Pm: 0.0000 0.5000 0.5000 x2
Er: 0.0000 0.1668 0.5000 x4
S: 0.2338 0.0000 0.7276 x4
S: 0.2467 0.3290 0.7267 x8

=====

[10]
Compound: Na4Pm3ErS8
Source: the Alexandria database
Functional: PBE-GGA
Structure: optimized geometry

- Formation energy (no corrections): -1.82 eV/atom
- Uncorrected energy: -258.5 eV per cell
- Crystal system: trigonal

a = 8.1277 Å, b = 8.1277 Å, c = 20.0657 Å
α = 90.00°, β = 90.00°, γ = 120.00°
Space group R-3m (No. 166, hexagonal axes)
One atom of each set of equivalent atoms:
Na: 0.0000 0.0000 0.0000 x3
Na: 0.0000 0.5000 0.0000 x9
Pm: 0.0000 0.5000 0.5000 x9
Er: 0.0000 0.0000 0.5000 x3
S: 0.0000 0.0000 0.2443 x6
S: 0.0079 0.5039 0.2430 x18

=====

[11]
Compound: Na3Pm2ErS6
Source: the Alexandria database
Functional: PBE-GGA
Structure: optimized geometry

- Formation energy (no corrections): -1.82 eV/atom
- Uncorrected energy: -129.3 eV per cell
- Crystal system: monoclinic

a = 7.0174 Å, b = 12.1534 Å, c = 7.0847 Å
α = 90.00°, β = 109.30°, γ = 90.00°
Space group C2/m (No. 12)
One atom of each set of equivalent atoms:
Na: 0.0000 0.0000 0.0000 x2
Na: 0.0000 0.3334 0.0000 x4
Pm: 0.0000 0.1666 0.5000 x4
Er: 0.0000 0.5000 0.5000 x2
S: 0.2390 0.3376 0.7298 x8
S: 0.2483 0.5000 0.2714 x4

=====

[12]
Compound: Na4PmEr3S8
Source: the Alexandria database
Functional: PBE-GGA
Structure: optimized geometry

- Formation energy (no corrections): -1.84 eV/atom
- Uncorrected energy: -258.5 eV per cell
- Crystal system: trigonal

a = 7.9733 Å, b = 7.9733 Å, c = 20.0612 Å
α = 90.00°, β = 90.00°, γ = 120.00°
Space group R-3m (No. 166, hexagonal axes)
One atom of each set of equivalent atoms:
Na: 0.0000 0.0000 0.0000 x3
Na: 0.0000 0.5000 0.0000 x9
Pm: 0.0000 0.0000 0.5000 x3
Er: 0.0000 0.5000 0.5000 x9
S: 0.0000 0.0000 0.2413 x6
S: 0.0078 0.5039 0.7576 x18